# CdSi2IN

A relaxed structure of CdSi2IN (GGA-PBE, Alexandria).

Lattice parameters (Å, degrees): 5.3750 5.3750 5.6113 90.00 90.00 90.00
Last column: nearest neighbours and their distance in Å.
Space group P4/mmm (No. 123)
Unique sites:
Cd 0.0000 0.0000 0.0000  2 I 2.81
Si 0.0000 0.5000 0.5000  2 I 2.69
I 0.0000 0.0000 0.5000  4 Si 2.69, 2 Cd 2.81
N 0.5000 0.5000 0.0000  4 Cd 3.80, 8 Si 3.89

Results
The total energy is -9.1 eV/cell. The value obtained for the uncorrected formation energy is 2.50 eV/atom.